Entry 1:
ScIr3Pt after structural relaxation. Source: Alexandria, functional GGA-PBE.

Summary:
Energy above the lowest structure with this stoichiometry: 332 meV per atom
Fermi-level density of states: 6.06 states/eV/f.u.
Energy of formation: 38.16 kcal/mol of atoms

Cell lengths 4.616, 4.616, 4.616 Å; angles 90.00, 90.00, 90.00 degrees
Space group Pm-3m (No. 221)
Unique sites:
Sc: 0.000 0.000 0.000 [1 per cell]
Ir: 0.000 0.000 0.500 [3 per cell]
Pt: 0.500 0.500 0.500 [1 per cell]

Entry 2:
Sc3IrPt after structural relaxation. Source: Alexandria, functional GGA-PBE.

Summary:
Energy above the lowest structure with this stoichiometry: 0 meV per atom
Fermi-level density of states: 4.14 states/eV/f.u.
Energy of formation: -6.44 kcal/mol of atoms

Cell lengths 4.929, 4.929, 4.929 Å; angles 90.00, 90.00, 90.00 degrees
Space group Pm-3m (No. 221)
Unique sites:
Sc: 0.000 0.000 0.500 [3 per cell]
Ir: 0.000 0.000 0.000 [1 per cell]
Pt: 0.500 0.500 0.500 [1 per cell]

Entry 3:
Sc4IrPt5 after structural relaxation. Source: Alexandria, functional GGA-PBE.

Summary:
Fermi-level density of states: 4.10 states/eV/f.u.
Energy of formation: -24.87 kcal/mol of atoms

Cell lengths 13.288, 4.736, 5.608 Å; angles 90.00, 102.78, 90.00 degrees
Space group C2/m (No. 12)
Unique sites:
Sc: 0.091 0.000 0.338 [4 per cell]
Sc: 0.189 0.500 0.814 [4 per cell]
Ir: 0.000 0.500 0.500 [2 per cell]
Pt: 0.000 0.500 0.000 [2 per cell]
Pt: 0.112 0.000 0.855 [4 per cell]
Pt: 0.203 0.500 0.333 [4 per cell]

Entry 4:
Sc6Ir5Pt after structural relaxation. Source: Alexandria, functional GGA-PBE.

Summary:
Fermi-level density of states: 2.18 states/eV/f.u.
Energy of formation: -24.39 kcal/mol of atoms

Cell lengths 4.478, 13.422, 6.789 Å; angles 90.00, 90.00, 90.00 degrees
Space group Cmmm (No. 65)
Unique sites:
Sc: 0.000 0.000 0.246 [4 per cell]
Sc: 0.000 0.332 0.248 [8 per cell]
Ir: 0.000 0.166 0.000 [4 per cell]
Ir: 0.000 0.166 0.500 [4 per cell]
Ir: 0.000 0.500 0.000 [2 per cell]
Pt: 0.000 0.500 0.500 [2 per cell]

Entry 5:
ScIr4Pt after structural relaxation. Source: Alexandria, functional GGA-PBE.

Summary:
Fermi-level density of states: 11.20 states/eV/f.u.
Energy of formation: -3.38 kcal/mol of atoms

Cell lengths 7.338, 7.338, 7.338 Å; angles 90.00, 90.00, 90.00 degrees
Space group F-43m (No. 216)
Unique sites:
Sc: 0.000 0.000 0.000 [4 per cell]
Ir: 0.125 0.125 0.625 [16 per cell]
Pt: 0.250 0.250 0.250 [4 per cell]

Entry 6:
ScIr2Pt after structural relaxation. Source: Alexandria, functional GGA-PBE.

Summary:
Fermi-level density of states: 4.09 states/eV/f.u.
Energy of formation: -10.21 kcal/mol of atoms

Cell lengths 2.948, 4.623, 4.679 Å; angles 90.00, 90.00, 90.00 degrees
Space group Pmmm (No. 47)
Unique sites:
Sc: 0.000 0.000 0.000 [1 per cell]
Ir: 0.000 0.500 0.500 [1 per cell]
Ir: 0.500 0.500 0.000 [1 per cell]
Pt: 0.500 0.000 0.500 [1 per cell]